(1)
A relaxed SbPbF7 crystal, computed with PBE.

The space group is P-1 (No. 2) and the conventional cell measures 4.934, 7.389 and 8.206 Å, with angles of 74.74, 82.47 and 89.72 degrees. The distinct sites, in fractional coordinates, are Sb at (0.184, 0.306, 0.284), Pb at (0.269, 0.146, 0.822), F at (0.012, 0.283, 0.513), F at (0.013, 0.537, 0.194), F at (0.120, 0.829, 0.760), F at (0.221, 0.922, 0.080), F at (0.353, 0.071, 0.365), F at (0.357, 0.315, 0.056) and F at (0.477, 0.447, 0.325).

The magnetic moment comes out at 0.00 μB/f.u. The uncorrected formation energy is -2.379 eV/atom.


(2)
A relaxed Ac6Si2Pb3 crystal, computed with PBE.

The space group is I4/mmm (No. 139) and the conventional cell measures 5.876, 5.876 and 26.603 Å, with angles of 90.00, 90.00 and 90.00 degrees. The distinct sites, in fractional coordinates, are Ac at (0.000, 0.000, 0.208), Ac at (0.000, 0.500, 0.081), Si at (0.000, 0.000, 0.099), Pb at (0.000, 0.000, 0.335) and Pb at (0.000, 0.000, 0.500).

The magnetic moment comes out at 0.00 μB/f.u. The uncorrected formation energy is -0.241 eV/atom.


(3)
A relaxed CrIr2W crystal, computed with PBE.

The space group is Pmm2 (No. 25) and the conventional cell measures 2.753, 4.357 and 4.760 Å, with angles of 90.00, 90.00 and 90.00 degrees. The distinct sites, in fractional coordinates, are Cr at (0.000, 0.000, 0.000), Ir at (0.500, 0.000, 0.501), Ir at (0.500, 0.500, 0.857) and W at (0.000, 0.500, 0.338).

For the distance to the lowest polymorph of the same formula, the calculation gives 0.003 eV per atom. The magnetic moment comes out at 0.00 μB/f.u. The energy of formation from the pure elements is -0.238 eV/atom.


(4)
A relaxed MgGeMoAs2 crystal, computed with PBE.

The space group is P4/mmm (No. 123) and the conventional cell measures 4.816, 4.816 and 4.811 Å, with angles of 90.00, 90.00 and 90.00 degrees. The distinct sites, in fractional coordinates, are Mg at (0.000, 0.000, 0.000), Ge at (0.000, 0.000, 0.500), Mo at (0.500, 0.500, 0.500) and As at (0.000, 0.500, 0.000).

The magnetic moment comes out at 0.35 μB/f.u. The energy of formation from the pure elements is 1.366 eV/atom.


(5)
A relaxed Pm2MoH6 crystal, computed with PBE.

The space group is Fm-3m (No. 225) and the conventional cell measures 7.357, 7.357 and 7.357 Å, with angles of 90.00, 90.00 and 90.00 degrees. The distinct sites, in fractional coordinates, are Pm at (0.250, 0.250, 0.250), Mo at (0.000, 0.000, 0.000) and H at (0.000, 0.000, 0.252).

The calculation puts the total energy at -179.14 eV for the cell shown. The magnetic moment comes out at 0.00 μB/f.u.


(6)
A relaxed Ba2ReHgO6 crystal, computed with PBE.

The space group is P-1 (No. 2) and the conventional cell measures 5.960, 6.044 and 6.301 Å, with angles of 117.23, 90.21 and 119.18 degrees. The distinct sites, in fractional coordinates, are Ba at (0.245, 0.489, 0.237), Re at (0.500, 0.000, 0.000), Hg at (0.000, 0.000, 0.500), O at (0.212, 0.878, 0.141), O at (0.305, 0.609, 0.706) and O at (0.338, 0.125, 0.856).

The magnetic moment comes out at 0.00 μB/f.u. The uncorrected formation energy is -1.884 eV/atom.


(7)
A relaxed SnSb2Pd crystal, computed with PBE.

The space group is P2_1/m (No. 11) and the conventional cell measures 3.994, 8.335 and 6.089 Å, with angles of 90.00, 107.51 and 90.00 degrees. The distinct sites, in fractional coordinates, are Sn at (0.084, 0.250, 0.144), Sb at (0.348, 0.044, 0.723) and Pd at (0.248, 0.750, 0.477).

The magnetic moment comes out at 0.00 μB/f.u. The uncorrected formation energy is -0.150 eV/atom.


(8)
A relaxed La2Sm3Ho5 crystal, computed with PBE.

The space group is Ibam (No. 72) and the conventional cell measures 9.551, 21.781 and 6.812 Å, with angles of 90.00, 90.00 and 90.00 degrees. The distinct sites, in fractional coordinates, are La at (0.113, 0.124, 0.000), Sm at (0.000, 0.000, 0.250), Sm at (0.249, 0.370, 0.000), Ho at (0.000, 0.251, 0.250), Ho at (0.000, 0.500, 0.250) and Ho at (0.082, 0.374, 0.500).

For the distance to the lowest polymorph of the same formula, the calculation gives 0.209 eV per atom. The magnetic moment comes out at 0.00 μB/f.u. The energy of formation from the pure elements is 0.392 eV/atom.


Please write out number 6 again, unchanged.
A relaxed Ba2ReHgO6 crystal, computed with PBE.

The space group is P-1 (No. 2) and the conventional cell measures 5.960, 6.044 and 6.301 Å, with angles of 117.23, 90.21 and 119.18 degrees. The distinct sites, in fractional coordinates, are Ba at (0.245, 0.489, 0.237), Re at (0.500, 0.000, 0.000), Hg at (0.000, 0.000, 0.500), O at (0.212, 0.878, 0.141), O at (0.305, 0.609, 0.706) and O at (0.338, 0.125, 0.856).

The magnetic moment comes out at 0.00 μB/f.u. The uncorrected formation energy is -1.884 eV/atom.


- What is the formula in the third record?
  CrIr2W


- magnetic moment of number 1 (SbPbF7)?
  0.00 μB/f.u.